# 1
# TaAl2Os2, relaxed, DFT PBE-GGA
# * calculated volume: 16.21 Å³ per atom
# * distance to the lowest polymorph of the same formula: 0 meV/atom
# * total magnetic moment: 0.0000 μB per atom
data_TaAl2Os2
_chemical_formula_sum 'Ta2 Al4 Os4'
_symmetry_space_group_name_H-M 'C m m m'
_symmetry_Int_Tables_number 65
_symmetry_space_group_name_Hall '-C 2 2'
_cell_length_a 2.998
_cell_length_b 17.599
_cell_length_c 3.072
_cell_angle_alpha 90.00
_cell_angle_beta 90.00
_cell_angle_gamma 90.00
loop_
_atom_site_label
_atom_site_type_symbol
_atom_site_fract_x
_atom_site_fract_y
_atom_site_fract_z
_atom_site_occupancy
Ta1 Ta 0.000 0.000 0.000 1
Al1 Al 0.000 0.181 0.000 1
Os1 Os 0.000 0.403 0.500 1

***

# 2
# Ta2AlOs, relaxed, DFT PBE-GGA
# * calculated volume: 16.66 Å³ per atom
# * distance to the lowest polymorph of the same formula: 285 meV/atom
# * total magnetic moment: 0.0000 μB per atom
data_Ta2AlOs
_chemical_formula_sum 'Ta6 Al3 Os3'
_symmetry_space_group_name_H-M 'R -3 m'
_symmetry_Int_Tables_number 166
_symmetry_space_group_name_Hall '-R 3 2"'
_cell_length_a 2.8712
_cell_length_b 2.8712
_cell_length_c 28.0032
_cell_angle_alpha 90.00
_cell_angle_beta 90.00
_cell_angle_gamma 120.00
loop_
_atom_site_label
_atom_site_type_symbol
_atom_site_fract_x
_atom_site_fract_y
_atom_site_fract_z
_atom_site_occupancy
Ta1 Ta 0.0000 0.0000 0.2479 1
Al1 Al 0.0000 0.0000 0.0000 1
Os1 Os 0.0000 0.0000 0.5000 1

***

# 3
# Ta2AlOs, relaxed, DFT PBE-GGA
# * calculated volume: 16.24 Å³ per atom
# * distance to the lowest polymorph of the same formula: 0 meV/atom
# * total magnetic moment: 0.0000 μB per atom
data_Ta2AlOs
_chemical_formula_sum 'Ta4 Al2 Os2'
_symmetry_space_group_name_H-M 'I m m m'
_symmetry_Int_Tables_number 71
_symmetry_space_group_name_Hall '-I 2 2'
_cell_length_a 3.231
_cell_length_b 4.404
_cell_length_c 9.129
_cell_angle_alpha 90.00
_cell_angle_beta 90.00
_cell_angle_gamma 90.00
loop_
_atom_site_label
_atom_site_type_symbol
_atom_site_fract_x
_atom_site_fract_y
_atom_site_fract_z
_atom_site_occupancy
Ta1 Ta 0.000 0.000 0.238 1
Al1 Al 0.000 0.500 0.000 1
Os1 Os 0.000 0.500 0.500 1

***

# 4
# Ta2AlOs2, relaxed, DFT PBE-GGA
# * calculated volume: 17.13 Å³ per atom
# * distance to the lowest polymorph of the same formula: 0 meV/atom
# * total magnetic moment: 0.0000 μB per atom
data_Ta2AlOs2
_chemical_formula_sum 'Ta4 Al2 Os4'
_symmetry_space_group_name_H-M 'P 4/m b m'
_symmetry_Int_Tables_number 127
_symmetry_space_group_name_Hall '-P 4 2ab'
_cell_length_a 7.475
_cell_length_b 7.475
_cell_length_c 3.066
_cell_angle_alpha 90.00
_cell_angle_beta 90.00
_cell_angle_gamma 90.00
loop_
_atom_site_label
_atom_site_type_symbol
_atom_site_fract_x
_atom_site_fract_y
_atom_site_fract_z
_atom_site_occupancy
Ta1 Ta 0.161 0.339 0.000 1
Al1 Al 0.000 0.000 0.500 1
Os1 Os 0.137 0.637 0.500 1